Below is crystalline CaVCl2 at its relaxed geometry, with properties calculated at the PBE level.

Cell: 5.0484 5.0484 8.6658 Å, 73.07 73.07 90.00°
Site moments in Bohr magnetons follow the coordinates.
Atoms (fractional coordinates):
Ca1 0.2500 0.7500 0.5000  0.16
Cl1 0.6566 0.1250 0.2500  0.00
Cl2 0.0934 0.6250 0.2500  0.00
Cl3 0.8750 0.9066 0.7500  0.00
Cl4 0.3750 0.3434 0.7500  0.00
V1 0.7500 0.2500 0.5000  3.15
V2 0.0000 0.0000 0.0000  3.15
Ca2 0.5000 0.5000 0.0000  0.16

Computed properties:
V, Å³ per atom: 25.16
Relative energy among the computed polymorphs, meV/atom: 73
N(E_F), states/eV/f.u.: 2.802
SG: No. 122
Crystal system: tetragonal
M_tot, μB per atom: 1.19
Energy relative to the elements, uncorrected, meV/atom: -742

***

Below is crystalline Ho4ErHg at its relaxed geometry, with properties calculated at the PBE level.

Cell: 6.3118 8.9169 8.1508 Å, 113.18 99.81 113.35°
Atoms (fractional coordinates):
Ho1 0.2439 0.2876 0.3776
Ho2 0.7561 0.7124 0.6224
Er1 0.6570 0.4070 0.8139
Hg1 0.2506 0.0006 0.0012
Ho3 0.9603 0.8370 0.2401
Hg2 0.7494 0.9994 0.9988
Ho4 0.2202 0.5970 0.7599
Ho5 0.3663 0.9100 0.6224
Ho6 0.6337 0.0900 0.3776
Ho7 0.0397 0.1630 0.7599
Ho8 0.7798 0.4030 0.2401
Er2 0.3430 0.5930 0.1861

Computed properties:
V, Å³ per atom: 29.76
Relative energy among the computed polymorphs, meV/atom: 100
N(E_F), states/eV/f.u.: 8.142
SG: No. 15
DFT formation energy, eV/atom: -0.04
Crystal system: monoclinic
M_tot, μB per atom: 0.00

***

Below is crystalline La6Ir2SI2 at its relaxed geometry, with properties calculated at the PBE level.

Cell: 7.3892 7.3892 8.1943 Å, 98.36 98.36 118.60°
Atoms (fractional coordinates):
La1 0.2938 0.2938 0.3033
La2 0.4053 0.0664 0.6949
Ir1 0.3299 0.6701 0.5000
La3 0.9336 0.5947 0.3051
I1 0.1642 0.8358 0.0000
S1 0.0000 0.0000 0.5000
La4 0.0664 0.4053 0.6949
La5 0.5947 0.9336 0.3051
Ir2 0.6701 0.3299 0.5000
La6 0.7062 0.7062 0.6967
I2 0.8358 0.1642 0.0000

Computed properties:
V, Å³ per atom: 34.23
N(E_F), states/eV/f.u.: 7.328
SG: No. 12
Crystal system: monoclinic
M_tot, μB per atom: 0.00
Energy relative to the elements, uncorrected, meV/atom: -1096